--- w ---
Crystalline ZnFe2Se at its relaxed geometry, computed with GGA-PBEsol.

The structure in CIF format:
```
data_ZnFe2Se
_chemical_formula_sum 'Zn3 Fe6 Se3'
_space_group_name_H-M_alt 'R 3 m'
_space_group_IT_number 160
_space_group_name_Hall 'R 3 -2"'
_cell_length_a 2.8991
_cell_length_b 2.8991
_cell_length_c 23.4205
_cell_angle_alpha 90.00
_cell_angle_beta 90.00
_cell_angle_gamma 120.00
loop_
_atom_site_label
_atom_site_fract_x
_atom_site_fract_y
_atom_site_fract_z
Zn1 0.0000 0.0000 0.0000
Fe1 0.0000 0.0000 0.4876
Fe2 0.0000 0.0000 0.7488
Se1 0.0000 0.0000 0.2263
```

Its crystal system is trigonal.

--- x ---
Crystalline ZnFe2Se at its relaxed geometry, computed with GGA-PBEsol.

The structure in CIF format:
```
data_ZnFe2Se
_chemical_formula_sum 'Zn4 Fe8 Se4'
_space_group_name_H-M_alt 'F -4 3 m'
_space_group_IT_number 216
_space_group_name_Hall 'F -4 2 3'
_cell_length_a 5.973
_cell_length_b 5.973
_cell_length_c 5.973
_cell_angle_alpha 90.00
_cell_angle_beta 90.00
_cell_angle_gamma 90.00
loop_
_atom_site_label
_atom_site_fract_x
_atom_site_fract_y
_atom_site_fract_z
Zn1 0.000 0.000 0.000
Fe1 0.000 0.000 0.500
Fe2 0.250 0.250 0.250
Se1 0.250 0.250 0.750
```

Its crystal system is cubic.

In terms of stability, w leads; the second structure lies 17.4 kJ/mol of atoms higher.

--- w ---
Crystalline FeSiW2 at its relaxed geometry, computed with GGA-PBEsol.

The structure in CIF format:
```
data_FeSiW2
_chemical_formula_sum 'Fe2 Si2 W4'
_space_group_name_H-M_alt 'I m m 2'
_space_group_IT_number 44
_space_group_name_Hall 'I 2 -2'
_cell_length_a 3.090
_cell_length_b 4.230
_cell_length_c 8.218
_cell_angle_alpha 90.00
_cell_angle_beta 90.00
_cell_angle_gamma 90.00
loop_
_atom_site_label
_atom_site_fract_x
_atom_site_fract_y
_atom_site_fract_z
Fe1 0.000 0.000 0.000
Si1 0.000 0.500 0.721
W1 0.000 0.000 0.482
W2 0.000 0.500 0.248
```

Its crystal system is orthorhombic.

--- x ---
Crystalline FeSiW2 at its relaxed geometry, computed with GGA-PBEsol.

The structure in CIF format:
```
data_FeSiW2
_chemical_formula_sum 'Fe1 Si1 W2'
_space_group_name_H-M_alt 'P 4/m m m'
_space_group_IT_number 123
_space_group_name_Hall '-P 4 2'
_cell_length_a 2.752
_cell_length_b 2.752
_cell_length_c 7.013
_cell_angle_alpha 90.00
_cell_angle_beta 90.00
_cell_angle_gamma 90.00
loop_
_atom_site_label
_atom_site_fract_x
_atom_site_fract_y
_atom_site_fract_z
Fe1 0.000 0.000 0.000
Si1 0.000 0.000 0.500
W1 0.500 0.500 0.243
```

Its crystal system is tetragonal.

In terms of stability, w leads; the second structure lies 6.4 kJ/mol of atoms higher.

--- w ---
Crystalline Sr2TaFe at its relaxed geometry, computed with GGA-PBEsol.

The structure in CIF format:
```
data_Sr2TaFe
_chemical_formula_sum 'Sr4 Ta2 Fe2'
_space_group_name_H-M_alt 'I m m m'
_space_group_IT_number 71
_space_group_name_Hall '-I 2 2'
_cell_length_a 3.262
_cell_length_b 3.712
_cell_length_c 18.194
_cell_angle_alpha 90.00
_cell_angle_beta 90.00
_cell_angle_gamma 90.00
loop_
_atom_site_label
_atom_site_fract_x
_atom_site_fract_y
_atom_site_fract_z
Sr1 0.000 0.000 0.151
Ta1 0.000 0.500 0.000
Fe1 0.000 0.500 0.500
```

Its crystal system is orthorhombic.

--- x ---
Crystalline Sr2TaFe at its relaxed geometry, computed with GGA-PBEsol.

The structure in CIF format:
```
data_Sr2TaFe
_chemical_formula_sum 'Sr8 Ta4 Fe4'
_space_group_name_H-M_alt 'F m -3 m'
_space_group_IT_number 225
_space_group_name_Hall '-F 4 2 3'
_cell_length_a 7.554
_cell_length_b 7.554
_cell_length_c 7.554
_cell_angle_alpha 90.00
_cell_angle_beta 90.00
_cell_angle_gamma 90.00
loop_
_atom_site_label
_atom_site_fract_x
_atom_site_fract_y
_atom_site_fract_z
Sr1 0.250 0.250 0.250
Ta1 0.000 0.000 0.000
Fe1 0.000 0.000 0.500
```

Its crystal system is cubic.

In terms of stability, w leads; the second structure lies 84.6 kJ/mol of atoms higher.

--- w ---
Crystalline SrFeW2 at its relaxed geometry, computed with GGA-PBEsol.

The structure in CIF format:
```
data_SrFeW2
_chemical_formula_sum 'Sr4 Fe4 W8'
_space_group_name_H-M_alt 'F -4 3 m'
_space_group_IT_number 216
_space_group_name_Hall 'F -4 2 3'
_cell_length_a 6.512
_cell_length_b 6.512
_cell_length_c 6.512
_cell_angle_alpha 90.00
_cell_angle_beta 90.00
_cell_angle_gamma 90.00
loop_
_atom_site_label
_atom_site_fract_x
_atom_site_fract_y
_atom_site_fract_z
Sr1 0.000 0.000 0.000
Fe1 0.250 0.250 0.750
W1 0.000 0.000 0.500
W2 0.250 0.250 0.250
```

Its crystal system is cubic.

--- x ---
Crystalline SrFeW2 at its relaxed geometry, computed with GGA-PBEsol.

The structure in CIF format:
```
data_SrFeW2
_chemical_formula_sum 'Sr1 Fe1 W2'
_space_group_name_H-M_alt 'P 4/m m m'
_space_group_IT_number 123
_space_group_name_Hall '-P 4 2'
_cell_length_a 3.789
_cell_length_b 3.789
_cell_length_c 5.004
_cell_angle_alpha 90.00
_cell_angle_beta 90.00
_cell_angle_gamma 90.00
loop_
_atom_site_label
_atom_site_fract_x
_atom_site_fract_y
_atom_site_fract_z
Sr1 0.000 0.000 0.000
Fe1 0.500 0.500 0.000
W1 0.000 0.500 0.500
```

Its crystal system is tetragonal.

In terms of stability, w leads; the second structure lies 20.4 kJ/mol of atoms higher.

--- w ---
Crystalline SrY2Fe at its relaxed geometry, computed with GGA-PBEsol.

The structure in CIF format:
```
data_SrY2Fe
_chemical_formula_sum 'Sr2 Y4 Fe2'
_space_group_name_H-M_alt 'A m m 2'
_space_group_IT_number 38
_space_group_name_Hall 'A 2 -2'
_cell_length_a 3.671
_cell_length_b 4.033
_cell_length_c 16.149
_cell_angle_alpha 90.00
_cell_angle_beta 90.00
_cell_angle_gamma 90.00
loop_
_atom_site_label
_atom_site_fract_x
_atom_site_fract_y
_atom_site_fract_z
Sr1 0.000 0.000 0.000
Y1 0.000 0.000 0.313
Y2 0.500 0.000 0.679
Fe1 0.500 0.000 0.832
```

Its crystal system is orthorhombic.

--- x ---
Crystalline SrY2Fe at its relaxed geometry, computed with GGA-PBEsol.

The structure in CIF format:
```
data_SrY2Fe
_chemical_formula_sum 'Sr1 Y2 Fe1'
_space_group_name_H-M_alt 'P 4 m m'
_space_group_IT_number 99
_space_group_name_Hall 'P 4 -2'
_cell_length_a 3.720
_cell_length_b 3.720
_cell_length_c 8.295
_cell_angle_alpha 90.00
_cell_angle_beta 90.00
_cell_angle_gamma 90.00
loop_
_atom_site_label
_atom_site_fract_x
_atom_site_fract_y
_atom_site_fract_z
Sr1 0.000 0.000 0.000
Y1 0.000 0.000 0.607
Y2 0.500 0.500 0.351
Fe1 0.500 0.500 0.725
```

Its crystal system is tetragonal.

--- y ---
Crystalline SrY2Fe at its relaxed geometry, computed with GGA-PBEsol.

The structure in CIF format:
```
data_SrY2Fe
_chemical_formula_sum 'Sr2 Y4 Fe2'
_space_group_name_H-M_alt 'C 1 m 1'
_space_group_IT_number 8
_space_group_name_Hall 'C -2y'
_cell_length_a 11.763
_cell_length_b 3.631
_cell_length_c 6.439
_cell_angle_alpha 90.00
_cell_angle_beta 121.51
_cell_angle_gamma 90.00
loop_
_atom_site_label
_atom_site_fract_x
_atom_site_fract_y
_atom_site_fract_z
Sr1 0.000 0.000 0.000
Y1 0.177 0.000 0.666
Y2 0.361 0.000 0.371
Fe1 0.229 0.500 0.446
```

Its crystal system is monoclinic.

--- z ---
Crystalline SrY2Fe at its relaxed geometry, computed with GGA-PBEsol.

The structure in CIF format:
```
data_SrY2Fe
_chemical_formula_sum 'Sr4 Y8 Fe4'
_space_group_name_H-M_alt 'F -4 3 m'
_space_group_IT_number 216
_space_group_name_Hall 'F -4 2 3'
_cell_length_a 7.562
_cell_length_b 7.562
_cell_length_c 7.562
_cell_angle_alpha 90.00
_cell_angle_beta 90.00
_cell_angle_gamma 90.00
loop_
_atom_site_label
_atom_site_fract_x
_atom_site_fract_y
_atom_site_fract_z
Sr1 0.000 0.000 0.000
Y1 0.000 0.000 0.500
Y2 0.250 0.250 0.250
Fe1 0.250 0.250 0.750
```

Its crystal system is cubic.

In terms of stability, w leads; the second structure lies 3.6 kJ/mol of atoms higher.

--- w ---
Crystalline Ta5Fe at its relaxed geometry, computed with GGA-PBEsol.

The structure in CIF format:
```
data_Ta5Fe
_chemical_formula_sum 'Ta10 Fe2'
_space_group_name_H-M_alt 'C m m m'
_space_group_IT_number 65
_space_group_name_Hall '-C 2 2'
_cell_length_a 3.203
_cell_length_b 13.372
_cell_length_c 4.572
_cell_angle_alpha 90.00
_cell_angle_beta 90.00
_cell_angle_gamma 90.00
loop_
_atom_site_label
_atom_site_fract_x
_atom_site_fract_y
_atom_site_fract_z
Ta1 0.000 0.000 0.000
Ta2 0.000 0.158 0.500
Ta3 0.000 0.334 0.000
Fe1 0.000 0.500 0.500
```

Its crystal system is orthorhombic.

--- x ---
Crystalline Ta5Fe at its relaxed geometry, computed with GGA-PBEsol.

The structure in CIF format:
```
data_Ta5Fe
_chemical_formula_sum 'Ta10 Fe2'
_space_group_name_H-M_alt 'C 1 2/m 1'
_space_group_IT_number 12
_space_group_name_Hall '-C 2y'
_cell_length_a 10.113
_cell_length_b 3.223
_cell_length_c 6.347
_cell_angle_alpha 90.00
_cell_angle_beta 108.65
_cell_angle_gamma 90.00
loop_
_atom_site_label
_atom_site_fract_x
_atom_site_fract_y
_atom_site_fract_z
Ta1 0.000 0.000 0.000
Ta2 0.160 0.500 0.339
Ta3 0.163 0.500 0.823
Fe1 0.000 0.000 0.500
```

Its crystal system is monoclinic.

In terms of stability, x leads; the second structure lies 1.4 kJ/mol of atoms higher.